--- one ---
Material: Dy3YBi2
Method: DFT, GGA-PBE
State: optimized geometry

As for the space group: C2/m. The total magnetization comes out at 0.0 μB/cell.

Unit cell a=4.325 b=10.771 c=10.021 alpha=125.55 beta=90.00 gamma=101.58
Fractional positions:
Dy: 0.688 0.376 0.484
Bi: 0.508 0.016 0.174
Bi: 0.492 0.984 0.826
Bi: 0.748 0.497 0.215
Dy: 0.312 0.624 0.516
Dy: 0.056 0.112 0.442
Dy: 0.359 0.718 0.197
Dy: 0.641 0.282 0.803
Y: 0.890 0.780 0.889
Dy: 0.944 0.888 0.558
Y: 0.110 0.220 0.111
Bi: 0.252 0.503 0.785

--- two ---
Material: Dy3YBi2
Method: DFT, GGA-PBE
State: optimized geometry

As for the space group: P-4m2. The total magnetization comes out at 0.0 μB/cell.

Unit cell a=4.562 b=4.562 c=8.615 alpha=90.00 beta=90.00 gamma=90.00
Fractional positions:
Dy: 0.000 0.000 0.000
Bi: 0.000 0.500 0.284
Dy: 0.000 0.500 0.654
Bi: 0.500 0.000 0.716
Dy: 0.500 0.000 0.346
Y: 0.500 0.500 0.000

Result of the stability comparison: two is the most stable of them.

--- one ---
Material: DyYBi2
Method: DFT, GGA-PBE
State: optimized geometry

As for the space group: R3m. The total magnetization comes out at 0.0 μB/cell.

Unit cell a=4.446 b=4.446 c=8.022 alpha=73.91 beta=73.91 gamma=60.00
Fractional positions:
Y: 0.669 0.669 0.994
Bi: 0.251 0.251 0.246
Dy: 0.498 0.498 0.506
Bi: 0.082 0.082 0.754

--- two ---
Material: DyYBi2
Method: DFT, GGA-PBE
State: optimized geometry

As for the space group: P6_3/mmc. The total magnetization comes out at 0.0 μB/cell.

Unit cell a=4.464 b=4.464 c=14.845 alpha=90.00 beta=90.00 gamma=120.00
Fractional positions:
Bi: 0.333 0.667 0.122
Y: 0.333 0.667 0.750
Dy: 0.000 0.000 0.000
Bi: 0.667 0.333 0.622
Bi: 0.667 0.333 0.878
Y: 0.667 0.333 0.250
Dy: 0.000 0.000 0.500
Bi: 0.333 0.667 0.378

--- three ---
Material: DyYBi2
Method: DFT, GGA-PBE
State: optimized geometry

As for the space group: C2/m. The total magnetization comes out at 0.0 μB/cell.

Unit cell a=4.480 b=4.480 c=7.759 alpha=73.16 beta=73.16 gamma=60.07
Fractional positions:
Bi: 0.750 0.750 0.751
Bi: 0.250 0.250 0.249
Y: 0.500 0.500 0.500
Dy: 0.000 0.000 0.000

Result of the stability comparison: three is the most stable of them.

--- one ---
Material: Dy4ZnBi
Method: DFT, GGA-PBE
State: optimized geometry

As for the space group: C2/c. The total magnetization comes out at 0.0 μB/cell.

Unit cell a=6.174 b=8.732 c=8.008 alpha=114.20 beta=101.19 gamma=110.55
Fractional positions:
Dy: 0.075 0.203 0.819
Dy: 0.244 0.617 0.819
Dy: 0.227 0.285 0.364
Bi: 0.635 0.385 0.770
Dy: 0.925 0.797 0.181
Zn: 0.250 0.000 0.001
Dy: 0.773 0.715 0.636
Zn: 0.750 0.000 0.999
Dy: 0.756 0.383 0.181
Dy: 0.364 0.921 0.636
Dy: 0.636 0.079 0.364
Bi: 0.365 0.615 0.230

--- two ---
Material: Dy4ZnBi
Method: DFT, GGA-PBE
State: optimized geometry

As for the space group: F-43m. The total magnetization comes out at 0.0 μB/cell.

Unit cell a=9.886 b=9.886 c=9.886 alpha=60.00 beta=60.00 gamma=60.00
Fractional positions:
Zn: 0.539 0.154 0.154
Dy: 0.940 0.560 0.940
Dy: 0.815 0.815 0.185
Dy: 0.900 0.367 0.367
Zn: 0.154 0.154 0.154
Dy: 0.367 0.367 0.367
Dy: 0.185 0.815 0.185
Dy: 0.367 0.900 0.367
Dy: 0.940 0.560 0.560
Dy: 0.367 0.367 0.900
Dy: 0.815 0.185 0.815
Bi: 0.595 0.595 0.214
Dy: 0.560 0.940 0.940
Dy: 0.185 0.815 0.815
Bi: 0.214 0.595 0.595
Bi: 0.595 0.214 0.595
Zn: 0.154 0.154 0.539
Dy: 0.560 0.940 0.560
Bi: 0.595 0.595 0.595
Dy: 0.560 0.560 0.940
Dy: 0.185 0.185 0.815
Dy: 0.940 0.940 0.560
Zn: 0.154 0.539 0.154
Dy: 0.815 0.185 0.185

Result of the stability comparison: two is the most stable of them.

--- one ---
Material: DyZnBi2
Method: DFT, GGA-PBE
State: optimized geometry

As for the space group: R-3m. The total magnetization comes out at 0.0 μB/cell.

Unit cell a=4.338 b=4.338 c=7.610 alpha=73.44 beta=73.44 gamma=60.00
Fractional positions:
Zn: 0.000 0.000 0.000
Bi: 0.259 0.259 0.223
Dy: 0.500 0.500 0.500
Bi: 0.741 0.741 0.777

--- two ---
Material: DyZnBi2
Method: DFT, GGA-PBE
State: optimized geometry

As for the space group: P4/mmm. The total magnetization comes out at 0.0 μB/cell.

Unit cell a=4.445 b=4.882 c=4.882 alpha=90.00 beta=90.00 gamma=90.00
Fractional positions:
Bi: 0.000 0.500 0.000
Zn: 0.500 0.000 0.000
Bi: 0.000 0.000 0.500
Dy: 0.500 0.500 0.500

Result of the stability comparison: two is the most stable of them.

--- one ---
Material: DyZrBi2
Method: DFT, GGA-PBE
State: optimized geometry

As for the space group: R3m. The total magnetization comes out at 0.5 μB/cell.

Unit cell a=4.254 b=4.254 c=7.925 alpha=74.43 beta=74.43 gamma=60.00
Fractional positions:
Bi: 0.247 0.247 0.260
Bi: 0.086 0.086 0.742
Dy: 0.669 0.669 0.993
Zr: 0.498 0.498 0.505

--- two ---
Material: DyZrBi2
Method: DFT, GGA-PBE
State: optimized geometry

As for the space group: R-3m. The total magnetization comes out at 0.0 μB/cell.

Unit cell a=4.329 b=4.329 c=7.610 alpha=73.48 beta=73.48 gamma=60.00
Fractional positions:
Bi: 0.254 0.254 0.238
Dy: 0.500 0.500 0.500
Zr: 0.000 0.000 0.000
Bi: 0.746 0.746 0.762

--- three ---
Material: DyZrBi2
Method: DFT, GGA-PBE
State: optimized geometry

As for the space group: P4/mmm. The total magnetization comes out at 0.4 μB/cell.

Unit cell a=3.691 b=3.691 c=7.866 alpha=90.00 beta=90.00 gamma=90.00
Fractional positions:
Bi: 0.000 0.000 0.769
Dy: 0.500 0.500 0.500
Bi: 0.000 0.000 0.231
Zr: 0.500 0.500 0.000

Result of the stability comparison: two is the most stable of them.

--- one ---
Material: Er4Bi3
Method: DFT, GGA-PBE
State: optimized geometry

As for the space group: I4/mmm. The total magnetization comes out at 0.0 μB/cell.

Unit cell a=4.256 b=4.256 c=11.900 alpha=100.30 beta=100.30 gamma=90.00
Fractional positions:
Er: 0.840 0.840 0.680
Bi: 0.702 0.702 0.403
Bi: 0.000 0.000 0.000
Er: 0.160 0.160 0.320
Er: 0.571 0.571 0.142
Er: 0.429 0.429 0.858
Bi: 0.298 0.298 0.597

--- two ---
Material: Er4Bi3
Method: DFT, GGA-PBE
State: optimized geometry

As for the space group: I-43d. The total magnetization comes out at 0.0 μB/cell.

Unit cell a=8.065 b=8.065 c=8.065 alpha=109.47 beta=109.47 gamma=109.47
Fractional positions:
Er: 0.852 0.500 0.000
Bi: 0.625 0.750 0.875
Er: 0.500 0.852 0.500
Er: 0.648 0.148 0.148
Bi: 0.375 0.125 0.750
Bi: 0.750 0.625 0.375
Er: 0.000 0.000 0.852
Bi: 0.250 0.875 0.125
Er: 0.148 0.648 0.648
Er: 0.352 0.500 0.000
Bi: 0.125 0.375 0.250
Er: 0.500 0.352 0.500
Er: 0.000 0.000 0.352
Bi: 0.875 0.250 0.625

Result of the stability comparison: two is the most stable of them.

--- one ---
Material: EuEr2Bi
Method: DFT, GGA-PBE
State: optimized geometry

As for the space group: P4/mmm. The total magnetization comes out at 7.5 μB/cell.

Unit cell a=4.900 b=4.930 c=4.930 alpha=90.00 beta=90.00 gamma=90.00
Fractional positions:
Er: 0.000 0.000 0.500
Bi: 0.500 0.000 0.000
Er: 0.000 0.500 0.000
Eu: 0.500 0.500 0.500

--- two ---
Material: EuEr2Bi
Method: DFT, GGA-PBE
State: optimized geometry

As for the space group: R-3m. The total magnetization comes out at 7.5 μB/cell.

Unit cell a=3.572 b=3.572 c=12.396 alpha=81.72 beta=81.72 gamma=60.00
Fractional positions:
Eu: 0.500 0.500 0.500
Bi: 0.000 0.000 0.000
Er: 0.915 0.915 0.255
Er: 0.085 0.085 0.745

Result of the stability comparison: one is the most stable of them.

--- one ---
Material: Er3FeBi
Method: DFT, GGA-PBE
State: optimized geometry

As for the space group: Pm-3m. The total magnetization comes out at 0.2 μB/cell.

Unit cell a=5.111 b=5.111 c=5.111 alpha=90.00 beta=90.00 gamma=90.00
Fractional positions:
Er: 0.000 0.000 0.500
Er: 0.500 0.000 0.000
Er: 0.000 0.500 0.000
Bi: 0.500 0.500 0.500
Fe: 0.000 0.000 0.000

--- two ---
Material: Er3FeBi
Method: DFT, GGA-PBE
State: optimized geometry

As for the space group: C2/m. The total magnetization comes out at 2.0 μB/cell.

Unit cell a=4.028 b=7.931 c=10.379 alpha=123.89 beta=90.00 gamma=104.71
Fractional positions:
Bi: 0.412 0.824 0.575
Er: 0.583 0.166 0.946
Bi: 0.588 0.176 0.425
Er: 0.417 0.834 0.054
Er: 0.828 0.655 0.721
Er: 0.872 0.745 0.292
Fe: 0.763 0.525 0.957
Er: 0.172 0.345 0.279
Er: 0.128 0.255 0.708
Fe: 0.237 0.475 0.043

Result of the stability comparison: two is the most stable of them.